An optimized crystal structure of La6In2FeHg, computed with GGA-PBE.

Output
The value obtained for the formation energy is -0.221 eV/atom. As for the uncorrected energy: -46.01 eV per cell. For the density of states at the Fermi level, the calculation gives 10.9 states/eV per cell.

extended XYZ file:
```
10
Lattice="-1.737 -3.199 7.233 -4.862 -4.471 -2.466 8.003 1.072 -4.544" Properties=species:S:1:pos:R:3 pbc="T T T"
La -3.492 -4.064 -0.404
La -5.240 -5.939 2.899
Fe -1.832 -3.289 7.127
Hg -2.118 -4.754 2.767
La 6.198 -0.349 -2.481
In -0.797 -3.862 -2.546
In 1.659 -2.809 3.172
La 4.374 -2.672 1.032
La 0.152 -4.201 0.594
La 1.637 -1.508 -1.660
```


An optimized crystal structure of Ca3TiP, computed with GGA-PBE.

Output
The value obtained for the formation energy is -0.025 eV/atom. As for the uncorrected energy: -19.44 eV per cell. For the density of states at the Fermi level, the calculation gives 6.5 states/eV per cell. The calculation puts the polymorph energy (0 for the lowest one) at 0 meV/atom.

extended XYZ file:
```
5
Lattice="5.504 0.000 0.000 0.000 5.504 0.000 0.000 0.000 5.504" Properties=species:S:1:pos:R:3 pbc="T T T"
P 0.000 0.000 0.000
Ca 0.000 2.752 0.000
Ca 2.752 0.000 0.000
Ti 2.752 2.752 2.752
Ca 0.000 0.000 2.752
```


An optimized crystal structure of RbTeI2F, computed with GGA-PBE.

Output
As for the uncorrected energy: -8.19 eV per cell. As for the uncorrected formation energy: 0.1776 eV/atom. For the density of states at the Fermi level, the calculation gives 12.4 states/eV per cell. The calculation puts the polymorph energy (0 for the lowest one) at 1206 meV/atom.

extended XYZ file:
```
5
Lattice="-4.640 5.141 0.317 -2.141 -2.314 6.174 5.207 4.485 3.487" Properties=species:S:1:pos:R:3 pbc="T T T"
F -0.787 3.656 4.989
I -1.071 -1.157 3.087
Te 2.604 2.243 1.743
I -2.320 2.570 0.159
Rb 0.000 0.000 0.000
```


An optimized crystal structure of DyPaNi2, computed with GGA-PBE.

Output
The value obtained for the formation energy is -0.221 eV/atom. As for the uncorrected energy: -26.54 eV per cell. For the density of states at the Fermi level, the calculation gives 6.1 states/eV per cell. The calculation puts the polymorph energy (0 for the lowest one) at 139 meV/atom.

extended XYZ file:
```
4
Lattice="4.763 0.000 0.000 2.381 4.125 0.000 2.381 1.375 3.889" Properties=species:S:1:pos:R:3 pbc="T T T"
Ni 7.144 4.125 2.917
Dy 4.763 2.750 1.944
Pa 0.000 0.000 0.000
Ni 2.381 1.375 0.972
```


An optimized crystal structure of Rb2CrGaTe4, computed with GGA-PBE.

Output
As for the uncorrected energy: -60.87 eV per cell. As for the uncorrected formation energy: -0.4104 eV/atom. For the density of states at the Fermi level, the calculation gives 7.6 states/eV per cell.

extended XYZ file:
```
16
Lattice="-2.572 -2.719 -8.221 4.636 -7.682 1.039 -6.094 1.958 5.793" Properties=species:S:1:pos:R:3 pbc="T T T"
Te 0.520 -2.684 -1.298
Te -2.087 -1.847 1.180
Cr 2.318 -3.841 0.520
Te -1.112 -4.354 -6.132
Ga -8.667 -0.761 -2.427
Te -4.551 -5.760 -0.090
Rb -3.047 0.979 2.897
Cr -3.301 -5.581 -4.804
Te -0.102 -4.909 1.551
Te -3.928 -3.534 -2.939
Rb 1.032 -5.200 -3.591
Ga -2.015 -4.222 -0.694
Te -2.919 -4.089 4.744
Rb -1.286 -1.360 -4.110
Rb -4.333 -0.381 -1.214
Te -1.943 -6.597 -2.568
```


An optimized crystal structure of MgNi2Te, computed with GGA-PBE.

Output
As for the uncorrected energy: -16.74 eV per cell. As for the uncorrected formation energy: -0.1094 eV/atom. For the density of states at the Fermi level, the calculation gives 2.8 states/eV per cell. The calculation puts the polymorph energy (0 for the lowest one) at 6 meV/atom.

extended XYZ file:
```
4
Lattice="-0.858 3.820 3.081 -0.057 0.825 4.912 3.803 0.947 -0.113" Properties=species:S:1:pos:R:3 pbc="T T T"
Te 1.902 2.997 4.069
Ni -0.395 4.537 7.590
Mg 0.260 1.215 1.873
Ni 1.651 4.283 6.281
```